Ac6LaAu2 PBE relaxed; energy of formation = -0.2590 eV/atom
1.0
6.290 -2.992 0.000
6.290 2.992 0.000
-6.117 0.000 8.988
Ac La Au
6 1 2
Cartesian
-1.191 0.000 3.757
-1.835 0.000 8.445
2.595 0.000 2.825
3.870 0.000 6.163
8.300 0.000 0.544
7.655 0.000 5.231
0.000 0.000 0.000
0.654 0.000 6.454
5.810 0.000 2.534

SrHfSb2Se PBE relaxed; E_form (uncorrected) = -57.2 kJ/mol of atoms
1.0
5.578 0.000 0.000
0.000 5.578 0.000
0.000 0.000 5.193
Sr Hf Sb Se
1 1 2 1
Cartesian
0.000 0.000 0.000
2.789 2.789 2.597
0.000 2.789 2.597
2.789 0.000 2.597
2.789 2.789 0.000

LaIn2Sb2 PBE relaxed; E_form (uncorrected) = -39.3 kJ/mol of atoms
1.0
4.372 0.000 0.000
0.000 4.372 0.000
0.000 0.000 16.322
La In Sb
2 4 4
Cartesian
0.000 0.000 0.000
2.186 2.186 8.161
0.000 2.186 4.081
0.000 2.186 12.242
2.186 0.000 4.081
2.186 0.000 12.242
0.000 0.000 6.702
0.000 0.000 9.620
2.186 2.186 1.459
2.186 2.186 14.864

NbPdBr2 PBE relaxed; E_form (uncorrected) = 29.5 kJ/mol of atoms
1.0
6.670 0.000 0.000
0.000 6.670 0.000
0.000 0.000 6.670
Nb Pd Br
4 4 8
Cartesian
0.000 0.000 0.000
0.000 3.335 3.335
3.335 0.000 3.335
3.335 3.335 0.000
0.000 0.000 3.335
0.000 3.335 0.000
3.335 0.000 0.000
3.335 3.335 3.335
1.668 1.668 1.668
1.668 1.668 5.003
1.668 5.003 1.668
1.668 5.003 5.003
5.003 1.668 1.668
5.003 1.668 5.003
5.003 5.003 1.668
5.003 5.003 5.003

Calculated theoretical density in order - 9.3, 6.0, 6.5, 8.0 g cm⁻³
Calculated total magnetization in order - 0.0, 0.0, 0.0, 0.0 μB/f.u.